Record 1
{
  "formula": "NbCoPb2O6",
  "functional": "PBE with a Hubbard U",
  "state": "relaxed",
  "cell": [[0.324, 1.823, 5.378], [-3.851, 3.681, 1.993], [-3.855, -1.706, 3.818]],
  "species": ["Pb", "Pb", "O", "O", "O", "O", "O", "O", "Co", "Nb"],
  "fractional_positions": [[0.750, 0.750, 0.750], [0.250, 0.250, 0.250], [0.251, 0.251, 0.749], [0.251, 0.749, 0.749], [0.749, 0.251, 0.749], [0.749, 0.251, 0.251], [0.749, 0.749, 0.251], [0.251, 0.749, 0.251], [0.500, 0.500, 0.500], [0.000, 0.000, 0.000]],
  "volume_a3_per_atom": 13.0,
  "energy_ev_per_atom": -6.724
}

=====

Record 2
{
  "formula": "Rb2NbCoO5",
  "functional": "PBE with a Hubbard U",
  "state": "relaxed",
  "cell": [[-1.829, 0.775, -2.636], [-5.451, 0.063, 5.866], [2.311, 12.301, 2.015]],
  "species": ["Nb", "Nb", "O", "O", "O", "O", "O", "O", "O", "O", "O", "O", "Rb", "Rb", "Rb", "Rb", "Co", "Co"],
  "fractional_positions": [[0.208, 0.416, 0.046], [0.792, 0.584, 0.546], [0.508, 0.015, 0.809], [0.297, 0.595, 0.435], [0.687, 0.375, 0.139], [0.323, 0.647, 0.034], [0.919, 0.838, 0.477], [0.081, 0.162, 0.977], [0.677, 0.353, 0.534], [0.313, 0.625, 0.639], [0.703, 0.405, 0.935], [0.492, 0.985, 0.309], [0.052, 0.104, 0.638], [0.948, 0.896, 0.138], [0.134, 0.267, 0.341], [0.866, 0.733, 0.841], [0.585, 0.171, 0.904], [0.415, 0.829, 0.404]],
  "volume_a3_per_atom": 18.2,
  "energy_ev_per_atom": -6.391
}